No. 1
VASP calculation (PBE) on a geometry-optimized Dy4NiPb2 structure.

Cell lengths 6.4954, 6.7336, 9.8009 Å; angles 90.00, 114.60, 90.00 degrees
Last column: nearest neighbours and their distance in Å.
Fractional coordinates of all 14 atoms:
Dy 0.4593 0.5007 0.2520  1 Ni 2.71
Dy 0.1174 0.7500 0.8812  1 Ni 2.59
Dy 0.8826 0.2500 0.1188  1 Ni 2.59
Dy 0.4593 0.9993 0.2520  1 Ni 2.71
Dy 0.9091 0.2500 0.5949  1 Ni 2.62
Dy 0.5407 0.0007 0.7480  1 Ni 2.71
Dy 0.5407 0.4993 0.7480  1 Ni 2.71
Dy 0.0909 0.7500 0.4051  1 Ni 2.62
Ni 0.0987 0.7500 0.1397  1 Pb 2.56, 4 Dy 2.59-2.71
Ni 0.9013 0.2500 0.8603  1 Pb 2.56, 4 Dy 2.59-2.71
Pb 0.6680 0.7500 0.0543  1 Ni 2.56
Pb 0.3320 0.2500 0.9457  1 Ni 2.56
Pb 0.2695 0.2500 0.4495  8 Dy 3.17-3.53
Pb 0.7305 0.7500 0.5505  8 Dy 3.17-3.53

Output
offset from the most stable computed form: 0 meV/atom

---

No. 2
VASP calculation (PBE) on a geometry-optimized SmHoGeRh structure.

Cell lengths 4.9950, 4.9950, 4.9950 Å; angles 60.00, 60.00, 60.00 degrees
Last column: nearest neighbours and their distance in Å.
Fractional coordinates of all 4 atoms:
Ge 0.5000 0.5000 0.5000  4 Sm 3.06, 4 Ho 3.06
Rh 0.0000 0.0000 0.0000  4 Ho 3.06, 4 Sm 3.06
Ho 0.7500 0.7500 0.7500  4 Ge 3.06, 4 Rh 3.06
Sm 0.2500 0.2500 0.2500  4 Ge 3.06, 4 Rh 3.06

Output
offset from the most stable computed form: 148 meV/atom

---

No. 3
VASP calculation (PBE) on a geometry-optimized AcPrRu structure.

Cell lengths 4.2957, 7.4156, 6.7131 Å; angles 111.23, 90.00, 90.00 degrees
Last column: nearest neighbours and their distance in Å.
Fractional coordinates of all 6 atoms:
Ac 0.3038 0.7650 0.8107  3 Ru 2.92-2.94
Ac 0.3038 0.2728 0.3107  3 Ru 2.92-2.94
Pr 0.8028 0.7759 0.3316  3 Ru 2.85-2.87
Pr 0.8028 0.2620 0.7898  3 Ru 2.85-2.87
Ru 0.3023 0.0189 0.5607  4 Pr 2.87, 2 Ac 2.94
Ru 0.8030 0.5190 0.5607  2 Pr 2.85, 4 Ac 2.92-2.93

Output
offset from the most stable computed form: 0 meV/atom

---

No. 4
VASP calculation (PBE) on a geometry-optimized TbDy8Ho2 structure.

Cell lengths 5.3693, 8.2987, 8.2987 Å; angles 105.12, 90.02, 90.02 degrees
Last column: nearest neighbours and their distance in Å.
Fractional coordinates of all 11 atoms:
Tb 0.0001 0.0029 0.0029  12 Dy 3.34-3.63
Dy 0.5002 0.3027 0.0333  7 Dy 3.33-3.65, 2 Ho 3.39-3.64, 2 Tb 3.62
Dy 0.5002 0.0333 0.3027  7 Dy 3.33-3.65, 2 Ho 3.39-3.64, 2 Tb 3.62
Dy 0.0002 0.3379 0.3379  7 Dy 3.33-3.65, 1 Tb 3.38, 4 Ho 3.53
Dy 0.0000 0.2570 0.7502  2 Ho 3.16, 1 Tb 3.34, 4 Dy 3.52-3.53
Dy 0.0000 0.7502 0.2570  2 Ho 3.16, 1 Tb 3.34, 4 Dy 3.52-3.53
Dy 0.9998 0.6681 0.6681  7 Dy 3.33-3.65, 1 Tb 3.38, 4 Ho 3.53
Dy 0.4998 0.9728 0.7030  7 Dy 3.33-3.65, 2 Ho 3.38-3.64, 2 Tb 3.62-3.63
Dy 0.4998 0.7030 0.9728  7 Dy 3.33-3.65, 2 Ho 3.38-3.64, 2 Tb 3.62-3.63
Ho 0.5000 0.6229 0.3832  1 Ho 3.16, 8 Dy 3.16-3.53
Ho 0.5000 0.3832 0.6229  1 Ho 3.16, 8 Dy 3.16-3.53

Output
offset from the most stable computed form: 21 meV/atom

---

What DFT formation energy values result from the calculations? In sequence: -0.366 -0.694 -0.130 0.183 eV/atom.